Material: TaTlCd2
Method: DFT, SCAN
State: PBEsol geometry

Lattice parameters (Å, degrees): 2.9785 5.3569 6.0250 116.40 104.31 90.00
With the nearest neighbours (Å) after each atom.
Fractional positions:
Tl 0.2462 0.7462 0.4924  2 Tl 2.98, 2 Ta 3.00, 6 Cd 3.07
Cd 0.0052 0.0052 0.0104  4 Cd 2.97-2.98, 4 Ta 3.07, 2 Tl 3.07
Cd 0.7531 0.2531 0.5063  2 Ta 2.92, 4 Cd 2.97-2.98, 4 Tl 3.07
Ta 0.4955 0.4955 0.9909  6 Cd 2.92-3.07, 2 Ta 2.98, 2 Tl 3.00

Calculated values
DOS(E_F): 0.72 states/eV/atom
SG: Imm2, No. 44
magnetic moment: 0.00 Bohr magnetons per cell
crystal system: orthorhombic



Material: TaTlCd2
Method: DFT, SCAN
State: PBEsol geometry

Lattice parameters (Å, degrees): 4.8870 4.8870 4.8870 60.00 60.00 60.00
With the nearest neighbours (Å) after each atom.
Fractional positions:
Tl 0.2500 0.2500 0.2500  4 Ta 2.99, 4 Cd 2.99
Cd 0.0000 0.0000 0.0000  4 Cd 2.99, 4 Tl 2.99
Cd 0.7500 0.7500 0.7500  4 Cd 2.99, 4 Ta 2.99
Ta 0.5000 0.5000 0.5000  4 Cd 2.99, 4 Tl 2.99

Calculated values
DOS(E_F): 0.62 states/eV/atom
SG: F-43m, No. 216
magnetic moment: 2.07 Bohr magnetons per cell
crystal system: cubic



Material: TaTlCd2
Method: DFT, SCAN
State: PBEsol geometry

Lattice parameters (Å, degrees): 3.0374 5.0315 6.1723 114.05 104.24 90.00
With the nearest neighbours (Å) after each atom.
Fractional positions:
Tl 0.0000 0.5000 0.0000  4 Ta 2.94, 2 Tl 3.04, 4 Cd 3.29
Cd 0.7687 0.7687 0.5374  2 Ta 2.93, 6 Cd 2.97-3.04
Cd 0.2313 0.2313 0.4626  2 Ta 2.93, 6 Cd 2.97-3.04
Ta 0.5000 0.0000 0.0000  4 Cd 2.93, 4 Tl 2.94, 2 Ta 3.04

Calculated values
DOS(E_F): 0.34 states/eV/atom
SG: Immm, No. 71
magnetic moment: 0.00 Bohr magnetons per cell
crystal system: orthorhombic



no.,VASP energy (eV/atom),formation energy from the elements (eV per formula unit),energy above the lowest structure with this stoichiometry (eV per atom)
1,-49.4545,1.95,0.1375
2,-49.2217,2.88,0.3703
3,-49.5920,1.40,0.0000